1.
Compound: KOsCl2
Source: the Alexandria database
Functional: GGA-PBE
Structure: optimized geometry

Unit cell a=3.7983 b=3.3569 c=6.6080 alpha=90.01 beta=90.00 gamma=90.00
Fractional positions:
K 0.5000 0.2500 0.2500
Os 0.5000 0.7500 0.7500
Cl 0.0000 0.7502 0.9703
Cl 0.0000 0.7498 0.5297

Total moment, μB per cell: 0.000
DOS at the Fermi energy, states/eV/cell: 2.3
Mass density, Mg/m³: 5.9
Energy, Ry/atom: -0.302
Uncorrected formation energy, eV per atom: -0.106



2.
Compound: LaPmTe
Source: the Alexandria database
Functional: GGA-PBE
Structure: optimized geometry

Unit cell a=4.5606 b=4.5606 c=9.5501 alpha=103.76 beta=103.76 gamma=90.01
Fractional positions:
Te 0.8656 0.8656 0.7299
Te 0.1344 0.1344 0.2701
La 0.3221 0.3221 0.6423
La 0.6779 0.6779 0.3577
Pm 0.5000 0.0000 0.0000
Pm 0.0000 0.5000 0.0000

Total moment, μB per cell: 0.000
DOS at the Fermi energy, states/eV/cell: 5.5
Mass density, Mg/m³: 7.3
Energy, Ry/atom: -0.388
Uncorrected formation energy, eV per atom: -1.006



Question: Among the records above, which one has the lowest DOS at the Fermi energy?
Answer: KOsCl2